1.
An optimized crystal structure of BeCuBiPd. Source: OQMD via LeMat-Bulk, functional PBE.

distance to the lowest polymorph of the same formula	0.00	eV/f.u.
calculated volume	65.05	Å³/f.u.

CIF file:
```
data_BeCuBiPd
_space_group_name_H-M_alt 'F -4 3 m'
_space_group_IT_number 216
_space_group_name_Hall 'F -4 2 3'
_cell_length_a 6.3841
_cell_length_b 6.3841
_cell_length_c 6.3841
_cell_angle_alpha 90.00
_cell_angle_beta 90.00
_cell_angle_gamma 90.00
loop_
_atom_site_label
_atom_site_fract_x
_atom_site_fract_y
_atom_site_fract_z
_atom_site_occupancy
Be1 0.0000 0.0000 0.0000 1
Cu1 0.0000 0.0000 0.5000 1
Bi1 0.2500 0.2500 0.7500 1
Pd1 0.2500 0.2500 0.2500 1
```

***

2.
An optimized crystal structure of TaBeCuBi. Source: OQMD via LeMat-Bulk, functional PBE.

total magnetic moment	0.18	μB per atom
distance to the lowest polymorph of the same formula	0.00	eV/f.u.
calculated volume	69.35	Å³/f.u.

CIF file:
```
data_TaBeCuBi
_space_group_name_H-M_alt 'F -4 3 m'
_space_group_IT_number 216
_space_group_name_Hall 'F -4 2 3'
_cell_length_a 6.5217
_cell_length_b 6.5217
_cell_length_c 6.5217
_cell_angle_alpha 90.00
_cell_angle_beta 90.00
_cell_angle_gamma 90.00
loop_
_atom_site_label
_atom_site_fract_x
_atom_site_fract_y
_atom_site_fract_z
_atom_site_occupancy
Ta1 0.0000 0.0000 0.0000 1
Be1 0.2500 0.2500 0.2500 1
Cu1 0.2500 0.2500 0.7500 1
Bi1 0.0000 0.0000 0.5000 1
```

***

3.
An optimized crystal structure of TaBeCuBi. Source: OQMD via LeMat-Bulk, functional PBE.

total magnetic moment	0.01	μB per atom
distance to the lowest polymorph of the same formula	0.18	eV/f.u.
calculated volume	70.15	Å³/f.u.

CIF file:
```
data_TaBeCuBi
_space_group_name_H-M_alt 'F -4 3 m'
_space_group_IT_number 216
_space_group_name_Hall 'F -4 2 3'
_cell_length_a 6.5468
_cell_length_b 6.5468
_cell_length_c 6.5468
_cell_angle_alpha 90.00
_cell_angle_beta 90.00
_cell_angle_gamma 90.00
loop_
_atom_site_label
_atom_site_fract_x
_atom_site_fract_y
_atom_site_fract_z
_atom_site_occupancy
Ta1 0.0000 0.0000 0.0000 1
Be1 0.2500 0.2500 0.7500 1
Cu1 0.0000 0.0000 0.5000 1
Bi1 0.2500 0.2500 0.2500 1
```

***

4.
An optimized crystal structure of BeCuBiW. Source: OQMD via LeMat-Bulk, functional PBE.

total magnetic moment	0.02	μB per atom
distance to the lowest polymorph of the same formula	0.13	eV/f.u.
calculated volume	64.35	Å³/f.u.

CIF file:
```
data_BeCuBiW
_space_group_name_H-M_alt 'F -4 3 m'
_space_group_IT_number 216
_space_group_name_Hall 'F -4 2 3'
_cell_length_a 6.3611
_cell_length_b 6.3611
_cell_length_c 6.3611
_cell_angle_alpha 90.00
_cell_angle_beta 90.00
_cell_angle_gamma 90.00
loop_
_atom_site_label
_atom_site_fract_x
_atom_site_fract_y
_atom_site_fract_z
_atom_site_occupancy
Be1 0.0000 0.0000 0.0000 1
Cu1 0.0000 0.0000 0.5000 1
Bi1 0.2500 0.2500 0.2500 1
W1 0.2500 0.2500 0.7500 1
```

***

5.
An optimized crystal structure of BeCuBiW. Source: OQMD via LeMat-Bulk, functional PBE.

total magnetic moment	0.01	μB per atom
distance to the lowest polymorph of the same formula	0.00	eV/f.u.
calculated volume	66.11	Å³/f.u.

CIF file:
```
data_BeCuBiW
_space_group_name_H-M_alt 'F -4 3 m'
_space_group_IT_number 216
_space_group_name_Hall 'F -4 2 3'
_cell_length_a 6.4185
_cell_length_b 6.4185
_cell_length_c 6.4185
_cell_angle_alpha 90.00
_cell_angle_beta 90.00
_cell_angle_gamma 90.00
loop_
_atom_site_label
_atom_site_fract_x
_atom_site_fract_y
_atom_site_fract_z
_atom_site_occupancy
Be1 0.0000 0.0000 0.0000 1
Cu1 0.2500 0.2500 0.7500 1
Bi1 0.0000 0.0000 0.5000 1
W1 0.2500 0.2500 0.2500 1
```

***

6.
An optimized crystal structure of ZrBeCuBi. Source: OQMD via LeMat-Bulk, functional PBE.

total magnetic moment	0.14	μB per atom
distance to the lowest polymorph of the same formula	0.49	eV/f.u.
calculated volume	76.10	Å³/f.u.

CIF file:
```
data_ZrBeCuBi
_space_group_name_H-M_alt 'F -4 3 m'
_space_group_IT_number 216
_space_group_name_Hall 'F -4 2 3'
_cell_length_a 6.7270
_cell_length_b 6.7270
_cell_length_c 6.7270
_cell_angle_alpha 90.00
_cell_angle_beta 90.00
_cell_angle_gamma 90.00
loop_
_atom_site_label
_atom_site_fract_x
_atom_site_fract_y
_atom_site_fract_z
_atom_site_occupancy
Zr1 0.0000 0.0000 0.0000 1
Be1 0.0000 0.0000 0.5000 1
Cu1 0.2500 0.2500 0.7500 1
Bi1 0.2500 0.2500 0.2500 1
```

***

7.
An optimized crystal structure of ZrBeCuBi. Source: OQMD via LeMat-Bulk, functional PBE.

total magnetic moment	0.08	μB per atom
distance to the lowest polymorph of the same formula	0.43	eV/f.u.
calculated volume	75.39	Å³/f.u.

CIF file:
```
data_ZrBeCuBi
_space_group_name_H-M_alt 'F -4 3 m'
_space_group_IT_number 216
_space_group_name_Hall 'F -4 2 3'
_cell_length_a 6.7059
_cell_length_b 6.7059
_cell_length_c 6.7059
_cell_angle_alpha 90.00
_cell_angle_beta 90.00
_cell_angle_gamma 90.00
loop_
_atom_site_label
_atom_site_fract_x
_atom_site_fract_y
_atom_site_fract_z
_atom_site_occupancy
Zr1 0.0000 0.0000 0.0000 1
Be1 0.2500 0.2500 0.7500 1
Cu1 0.0000 0.0000 0.5000 1
Bi1 0.2500 0.2500 0.2500 1
```

***

8.
An optimized crystal structure of ZrBeCuBi. Source: OQMD via LeMat-Bulk, functional PBE.

total magnetic moment	0.00	μB per atom
distance to the lowest polymorph of the same formula	0.00	eV/f.u.
calculated volume	73.73	Å³/f.u.

CIF file:
```
data_ZrBeCuBi
_space_group_name_H-M_alt 'F -4 3 m'
_space_group_IT_number 216
_space_group_name_Hall 'F -4 2 3'
_cell_length_a 6.6563
_cell_length_b 6.6563
_cell_length_c 6.6563
_cell_angle_alpha 90.00
_cell_angle_beta 90.00
_cell_angle_gamma 90.00
loop_
_atom_site_label
_atom_site_fract_x
_atom_site_fract_y
_atom_site_fract_z
_atom_site_occupancy
Zr1 0.0000 0.0000 0.0000 1
Be1 0.2500 0.2500 0.7500 1
Cu1 0.2500 0.2500 0.2500 1
Bi1 0.0000 0.0000 0.5000 1
```

***

9.
An optimized crystal structure of ErBeBi. Source: OQMD via LeMat-Bulk, functional PBE.

total magnetic moment	0.00	μB per atom
calculated volume	83.57	Å³/f.u.
calculated total energy	-3.795	eV/atom

CIF file:
```
data_ErBeBi
_space_group_name_H-M_alt 'F -4 3 m'
_space_group_IT_number 216
_space_group_name_Hall 'F -4 2 3'
_cell_length_a 6.9400
_cell_length_b 6.9400
_cell_length_c 6.9400
_cell_angle_alpha 90.00
_cell_angle_beta 90.00
_cell_angle_gamma 90.00
loop_
_atom_site_label
_atom_site_fract_x
_atom_site_fract_y
_atom_site_fract_z
_atom_site_occupancy
Er1 0.0000 0.0000 0.0000 1
Be1 0.2500 0.2500 0.7500 1
Bi1 0.2500 0.2500 0.2500 1
```

***

10.
An optimized crystal structure of Be2FeBi. Source: OQMD via LeMat-Bulk, functional PBE.

total magnetic moment	0.19	μB per atom
calculated volume	54.95	Å³/f.u.
calculated total energy	-4.133	eV/atom

CIF file:
```
data_Be2FeBi
_space_group_name_H-M_alt 'F -4 3 m'
_space_group_IT_number 216
_space_group_name_Hall 'F -4 2 3'
_cell_length_a 6.0351
_cell_length_b 6.0351
_cell_length_c 6.0351
_cell_angle_alpha 90.00
_cell_angle_beta 90.00
_cell_angle_gamma 90.00
loop_
_atom_site_label
_atom_site_fract_x
_atom_site_fract_y
_atom_site_fract_z
_atom_site_occupancy
Be1 0.0000 0.0000 0.0000 1
Be2 0.2500 0.2500 0.2500 1
Fe1 0.2500 0.2500 0.7500 1
Bi1 0.0000 0.0000 0.5000 1
```

***

11.
An optimized crystal structure of BeFe2Bi. Source: OQMD via LeMat-Bulk, functional PBE.

total magnetic moment	1.17	μB per atom
distance to the lowest polymorph of the same formula	0.00	eV/f.u.
calculated volume	60.30	Å³/f.u.

CIF file:
```
data_BeFe2Bi
_space_group_name_H-M_alt 'P m -3 m'
_space_group_IT_number 221
_space_group_name_Hall '-P 4 2 3'
_cell_length_a 6.2247
_cell_length_b 6.2247
_cell_length_c 6.2247
_cell_angle_alpha 90.00
_cell_angle_beta 90.00
_cell_angle_gamma 90.00
loop_
_atom_site_label
_atom_site_fract_x
_atom_site_fract_y
_atom_site_fract_z
_atom_site_occupancy
Be1 0.0000 0.0000 0.0000 1
Be2 0.0000 0.0000 0.5000 1
Fe1 0.1994 0.1994 0.1994 1
Bi1 0.0000 0.5000 0.5000 1
Bi2 0.5000 0.5000 0.5000 1
```

***

12.
An optimized crystal structure of BeFeBi2. Source: OQMD via LeMat-Bulk, functional PBE.

total magnetic moment	0.57	μB per atom
calculated volume	82.07	Å³/f.u.
calculated total energy	-4.015	eV/atom

CIF file:
```
data_BeFeBi2
_space_group_name_H-M_alt 'F -4 3 m'
_space_group_IT_number 216
_space_group_name_Hall 'F -4 2 3'
_cell_length_a 6.8983
_cell_length_b 6.8983
_cell_length_c 6.8983
_cell_angle_alpha 90.00
_cell_angle_beta 90.00
_cell_angle_gamma 90.00
loop_
_atom_site_label
_atom_site_fract_x
_atom_site_fract_y
_atom_site_fract_z
_atom_site_occupancy
Be1 0.0000 0.0000 0.0000 1
Fe1 0.2500 0.2500 0.7500 1
Bi1 0.0000 0.0000 0.5000 1
Bi2 0.2500 0.2500 0.2500 1
```

***

What did the third record say?
An optimized crystal structure of TaBeCuBi. Source: OQMD via LeMat-Bulk, functional PBE.

total magnetic moment	0.01	μB per atom
distance to the lowest polymorph of the same formula	0.18	eV/f.u.
calculated volume	70.15	Å³/f.u.

CIF file:
```
data_TaBeCuBi
_space_group_name_H-M_alt 'F -4 3 m'
_space_group_IT_number 216
_space_group_name_Hall 'F -4 2 3'
_cell_length_a 6.5468
_cell_length_b 6.5468
_cell_length_c 6.5468
_cell_angle_alpha 90.00
_cell_angle_beta 90.00
_cell_angle_gamma 90.00
loop_
_atom_site_label
_atom_site_fract_x
_atom_site_fract_y
_atom_site_fract_z
_atom_site_occupancy
Ta1 0.0000 0.0000 0.0000 1
Be1 0.2500 0.2500 0.7500 1
Cu1 0.0000 0.0000 0.5000 1
Bi1 0.2500 0.2500 0.2500 1
```

***

Which of these has the lowest calculated volume?
Be2FeBi

***

Repeat the first record exactly.
An optimized crystal structure of BeCuBiPd. Source: OQMD via LeMat-Bulk, functional PBE.

distance to the lowest polymorph of the same formula	0.00	eV/f.u.
calculated volume	65.05	Å³/f.u.

CIF file:
```
data_BeCuBiPd
_space_group_name_H-M_alt 'F -4 3 m'
_space_group_IT_number 216
_space_group_name_Hall 'F -4 2 3'
_cell_length_a 6.3841
_cell_length_b 6.3841
_cell_length_c 6.3841
_cell_angle_alpha 90.00
_cell_angle_beta 90.00
_cell_angle_gamma 90.00
loop_
_atom_site_label
_atom_site_fract_x
_atom_site_fract_y
_atom_site_fract_z
_atom_site_occupancy
Be1 0.0000 0.0000 0.0000 1
Cu1 0.0000 0.0000 0.5000 1
Bi1 0.2500 0.2500 0.7500 1
Pd1 0.2500 0.2500 0.2500 1
```